(1)
First-principles (GGA-PBE) data for a geometry-optimized CuTc2Pt structure, as listed in Alexandria via LeMat-Bulk.

abc: 4.3475 4.3475 4.3475
angles: 60.00 60.00 60.00
With the nearest neighbours (Å) after each atom.
Positions (direct):
Cu (0.0000, 0.0000, 0.0000)  8 Tc 2.66
Tc (0.2500, 0.2500, 0.2500)  4 Pt 2.66, 4 Cu 2.66
Tc (0.7500, 0.7500, 0.7500)  4 Pt 2.66, 4 Cu 2.66
Pt (0.5000, 0.5000, 0.5000)  8 Tc 2.66

Results
DOS at the Fermi energy: 7.328 states/eV/f.u.



(2)
First-principles (GGA-PBE) data for a geometry-optimized CuTc2Pt structure, as listed in Alexandria via LeMat-Bulk.

abc: 3.1260 3.1260 5.8775
angles: 90.00 90.00 90.00
With the nearest neighbours (Å) after each atom.
Positions (direct):
Cu (0.0000, 0.0000, 0.0000)  4 Pt 2.58, 5 Tc 2.63-2.80
Tc (0.0000, 0.0000, 0.5235)  4 Tc 2.60, 1 Cu 2.80, 4 Pt 2.81
Tc (0.5000, 0.5000, 0.7562)  4 Tc 2.60, 4 Cu 2.63, 1 Pt 2.77
Pt (0.5000, 0.5000, 0.2277)  4 Cu 2.58, 5 Tc 2.77-2.81

Results
DOS at the Fermi energy: 3.903 states/eV/f.u.



Computed relative energies in units of eV/atom: (1) 0.311; (2) 0.000



(1)
First-principles (GGA-PBE) data for a geometry-optimized CuTc2Pt structure, as listed in Alexandria via LeMat-Bulk.

abc: 6.8252 6.8252 6.8252
angles: 133.25 133.25 68.27
With the nearest neighbours (Å) after each atom.
Positions (direct):
Cu (0.0000, 0.0000, 0.0000)  4 Tc 2.35
Cu (0.7500, 0.2500, 0.5000)  4 Tc 2.35
Tc (0.1141, 0.6250, 0.9891)  2 Cu 2.35, 2 Pt 2.41
Tc (0.3750, 0.3641, 0.4891)  2 Cu 2.35, 2 Pt 2.41
Tc (0.6359, 0.1250, 0.0109)  2 Cu 2.35, 2 Pt 2.41
Tc (0.8750, 0.8859, 0.5109)  2 Cu 2.35, 2 Pt 2.41
Pt (0.2500, 0.7500, 0.5000)  4 Tc 2.41
Pt (0.5000, 0.5000, 0.0000)  4 Tc 2.41

Results
DOS at the Fermi energy: 3.017 states/eV/f.u.



(2)
First-principles (GGA-PBE) data for a geometry-optimized CuTc2Pt structure, as listed in Alexandria via LeMat-Bulk.

abc: 4.8925 4.8925 4.8925
angles: 135.51 135.51 64.74
With the nearest neighbours (Å) after each atom.
Positions (direct):
Cu (0.0000, 0.0000, 0.0000)  4 Pt 2.62, 8 Tc 2.77
Tc (0.2500, 0.7500, 0.5000)  4 Tc 2.62, 4 Cu 2.77, 4 Pt 2.77
Tc (0.7500, 0.2500, 0.5000)  4 Tc 2.62, 4 Cu 2.77, 4 Pt 2.77
Pt (0.5000, 0.5000, 0.0000)  4 Cu 2.62, 8 Tc 2.77

Results
DOS at the Fermi energy: 2.902 states/eV/f.u.



(3)
First-principles (GGA-PBE) data for a geometry-optimized CuTc2Pt structure, as listed in Alexandria via LeMat-Bulk.

abc: 2.7594 2.7594 7.5039
angles: 90.00 90.00 90.00
With the nearest neighbours (Å) after each atom.
Positions (direct):
Cu (0.0000, 0.0000, 0.0000)  4 Pt 2.68, 4 Tc 2.71, 4 Cu 2.76
Tc (0.0000, 0.0000, 0.5104)  8 Tc 2.65-2.76, 4 Pt 2.79
Tc (0.5000, 0.5000, 0.7501)  8 Tc 2.65-2.76, 4 Cu 2.71
Pt (0.5000, 0.5000, 0.2449)  4 Cu 2.68, 4 Pt 2.76, 4 Tc 2.79

Results
DOS at the Fermi energy: 3.537 states/eV/f.u.



Computed relative energies in units of eV/atom: (1) 1.465; (2) 0.038; (3) 0.000



(1)
First-principles (GGA-PBE) data for a geometry-optimized CuTePt structure, as listed in Alexandria via LeMat-Bulk.

abc: 3.8834 3.8834 4.4501
angles: 90.00 90.00 120.00
With the nearest neighbours (Å) after each atom.
Positions (direct):
Cu (0.0000, 0.0000, 0.0000)  3 Pt 2.59, 3 Te 2.77
Te (0.6667, 0.3333, 0.6335)  3 Pt 2.71, 3 Cu 2.77
Pt (0.3333, 0.6667, 0.2904)  3 Cu 2.59, 3 Te 2.71

Results
DOS at the Fermi energy: 2.161 states/eV/f.u.



(2)
First-principles (GGA-PBE) data for a geometry-optimized CuTePt structure, as listed in Alexandria via LeMat-Bulk.

abc: 4.7842 4.7842 4.7842
angles: 135.49 135.49 64.77
With the nearest neighbours (Å) after each atom.
Positions (direct):
Cu (0.0000, 0.0000, 0.0000)  5 Te 2.65-2.92, 5 Pt 2.74-2.87
Te (0.6724, 0.6724, 0.0000)  5 Cu 2.65-2.92, 5 Pt 2.69-2.90
Pt (0.3393, 0.3393, 0.0000)  5 Te 2.69-2.90, 5 Cu 2.74-2.87

Results
DOS at the Fermi energy: 1.254 states/eV/f.u.



Computed relative energies in units of eV/atom: (1) 0.030; (2) 0.000



(1)
First-principles (GGA-PBE) data for a geometry-optimized CuTePt structure, as listed in Alexandria via LeMat-Bulk.

abc: 4.3925 4.3925 4.3925
angles: 60.00 60.00 60.00
With the nearest neighbours (Å) after each atom.
Positions (direct):
Cu (0.0000, 0.0000, 0.0000)  4 Pt 2.69
Te (0.5000, 0.5000, 0.5000)  4 Pt 2.69
Pt (0.2500, 0.2500, 0.2500)  4 Te 2.69, 4 Cu 2.69

Results
DOS at the Fermi energy: 1.990 states/eV/f.u.



(2)
First-principles (GGA-PBE) data for a geometry-optimized CuTePt structure, as listed in Alexandria via LeMat-Bulk.

abc: 13.5200 3.0007 3.0007
angles: 89.62 90.00 90.00
With the nearest neighbours (Å) after each atom.
Positions (direct):
Cu (0.1128, 0.0000, 0.0000)  4 Pt 2.61-2.62, 1 Te 2.63
Cu (0.8872, 0.0000, 0.0000)  4 Pt 2.61-2.62, 1 Te 2.63
Te (0.3071, 0.0101, 0.0101)  1 Pt 2.61, 1 Cu 2.63
Te (0.6929, 0.0101, 0.0101)  1 Pt 2.61, 1 Cu 2.63
Pt (0.0000, 0.5001, 0.5001)  8 Cu 2.61-2.62
Pt (0.5000, 0.0086, 0.0086)  2 Te 2.61

Results
DOS at the Fermi energy: 1.364 states/eV/f.u.



Computed relative energies in units of eV/atom: (1) 0.000; (2) 0.237



(1)
First-principles (GGA-PBE) data for a geometry-optimized CuTe2Pt structure, as listed in Alexandria via LeMat-Bulk.

abc: 6.5829 6.5829 6.5829
angles: 146.05 146.05 48.77
With the nearest neighbours (Å) after each atom.
Positions (direct):
Cu (0.0000, 0.0000, 0.0000)  4 Te 2.72
Te (0.5000, 0.5000, 0.0000)  4 Cu 2.72
Te (0.7500, 0.2500, 0.5000)  4 Pt 2.72
Pt (0.2500, 0.7500, 0.5000)  4 Te 2.72

Results
DOS at the Fermi energy: 2.763 states/eV/f.u.



(2)
First-principles (GGA-PBE) data for a geometry-optimized CuTe2Pt structure, as listed in Alexandria via LeMat-Bulk.

abc: 4.5817 4.5105 4.5105
angles: 72.28 90.00 90.00
With the nearest neighbours (Å) after each atom.
Positions (direct):
Cu (0.0000, 0.0000, 0.0000)  5 Te 2.67-2.83, 2 Pt 2.71
Te (0.0000, 0.3888, 0.3888)  2 Pt 2.68, 3 Cu 2.78-2.83
Te (0.5000, 0.8131, 0.8131)  2 Cu 2.67, 3 Pt 2.79-2.80
Pt (0.5000, 0.1978, 0.1978)  5 Te 2.68-2.80, 2 Cu 2.71

Results
DOS at the Fermi energy: 1.622 states/eV/f.u.



(3)
First-principles (GGA-PBE) data for a geometry-optimized CuTe2Pt structure, as listed in Alexandria via LeMat-Bulk.

abc: 3.7608 3.7608 7.7302
angles: 90.00 90.00 120.45
With the nearest neighbours (Å) after each atom.
Positions (direct):
Cu (0.0000, 0.0000, 0.0000)  4 Te 2.70
Te (0.5000, 0.5000, 0.2531)  2 Pt 2.67, 2 Cu 2.70
Te (0.5000, 0.5000, 0.7469)  2 Pt 2.67, 2 Cu 2.70
Pt (0.0000, 0.0000, 0.5000)  4 Te 2.67

Results
DOS at the Fermi energy: 2.781 states/eV/f.u.



(4)
First-principles (GGA-PBE) data for a geometry-optimized CuTe2Pt structure, as listed in Alexandria via LeMat-Bulk.

abc: 4.8977 4.8977 3.8721
angles: 90.00 90.00 104.23
With the nearest neighbours (Å) after each atom.
Positions (direct):
Cu (0.0000, 0.0000, 0.0000)  4 Te 2.79, 2 Pt 3.01
Te (0.2596, 0.7404, 0.5000)  2 Pt 2.68, 2 Cu 2.79
Te (0.7404, 0.2596, 0.5000)  2 Pt 2.68, 2 Cu 2.79
Pt (0.5000, 0.5000, 0.0000)  4 Te 2.68

Results
DOS at the Fermi energy: 0.651 states/eV/f.u.



Computed relative energies in units of eV/atom: (1) 0.435; (2) 0.000; (3) 0.423; (4) 0.170